Density functional theory data (meta-GGA SCAN) for a crystal of Tb4MgIr relaxed with PBEsol.

Cell and atoms, written as extended XYZ:
```
24
Lattice="9.594 0.000 0.000 4.797 8.308 0.000 4.797 2.769 7.833" Properties=species:S:1:pos:R:3 pbc="T T T"
Tb 9.594 9.001 6.364
Tb 9.594 2.077 1.469
Tb 16.190 9.348 4.405
Tb 9.594 8.935 2.716
Tb 9.594 5.539 7.518
Tb 12.591 9.348 4.405
Tb 12.592 7.270 1.469
Tb 12.592 3.808 6.364
Tb 6.596 3.808 6.364
Tb 12.591 7.269 7.345
Tb 16.190 7.269 7.345
Tb 14.390 6.230 4.405
Tb 14.390 10.387 7.345
Tb 6.596 7.270 1.469
Tb 12.534 3.841 2.716
Tb 6.653 3.841 2.716
Mg 8.062 6.423 4.542
Mg 11.125 6.423 4.542
Mg 9.594 5.539 2.041
Mg 9.594 3.771 4.542
Ir 6.877 1.569 1.109
Ir 2.717 1.569 1.109
Ir 4.797 2.769 4.505
Ir 4.797 5.171 1.109
```

Values from the calculation:
* calculated formation energy: -511 meV/atom
* E_tot: -1064.74 eV/cell
* M_tot: 0.00 μB per formula unit
* crystal system: cubic